Model w:
Entry from Alexandria via LeMat-Bulk: Sr2ScCl at its PBEsol-relaxed geometry (SCAN).

Structure (CIF):
```
data_Sr2ScCl
_chemical_formula_sum 'Sr4 Sc2 Cl2'
_symmetry_space_group_name_H-M 'C m m m'
_symmetry_Int_Tables_number 65
_symmetry_space_group_name_Hall '-C 2 2'
_cell_length_a 4.202
_cell_length_b 6.027
_cell_length_c 9.995
_cell_angle_alpha 90.00
_cell_angle_beta 90.00
_cell_angle_gamma 90.00
loop_
_atom_site_label
_atom_site_fract_x
_atom_site_fract_y
_atom_site_fract_z
_atom_site_occupancy
Sr1 0.000 0.000 0.224 1
Sc1 0.000 0.500 0.500 1
Cl1 0.000 0.500 0.000 1
```

Output
Total magnetization   0.000 μB per atom



Model x:
Entry from Alexandria via LeMat-Bulk: Sr2ScCl at its PBEsol-relaxed geometry (SCAN).

Structure (CIF):
```
data_Sr2ScCl
_chemical_formula_sum 'Sr2 Sc1 Cl1'
_symmetry_space_group_name_H-M 'P 1 2/m 1'
_symmetry_Int_Tables_number 10
_symmetry_space_group_name_Hall '-P 2y'
_cell_length_a 3.860
_cell_length_b 3.710
_cell_length_c 9.800
_cell_angle_alpha 90.00
_cell_angle_beta 90.56
_cell_angle_gamma 90.00
loop_
_atom_site_label
_atom_site_fract_x
_atom_site_fract_y
_atom_site_fract_z
_atom_site_occupancy
Sr1 0.006 0.000 0.262 1
Sc1 0.500 0.500 0.000 1
Cl1 0.000 0.500 0.500 1
```

Output
Total magnetization   0.066 μB per atom



Which of them is the least stable? Correct choice: model w.



Model w:
Entry from Alexandria via LeMat-Bulk: Sc2TcCl at its PBEsol-relaxed geometry (SCAN).

Structure (CIF):
```
data_Sc2TcCl
_chemical_formula_sum 'Sc4 Tc2 Cl2'
_symmetry_space_group_name_H-M 'C 1 2/m 1'
_symmetry_Int_Tables_number 12
_symmetry_space_group_name_Hall '-C 2y'
_cell_length_a 7.056
_cell_length_b 6.875
_cell_length_c 3.041
_cell_angle_alpha 90.00
_cell_angle_beta 105.63
_cell_angle_gamma 90.00
loop_
_atom_site_label
_atom_site_fract_x
_atom_site_fract_y
_atom_site_fract_z
_atom_site_occupancy
Sc1 0.250 0.250 0.000 1
Tc1 0.000 0.000 0.500 1
Cl1 0.000 0.500 0.500 1
```

Output
Total magnetization   0.000 μB per atom



Model x:
Entry from Alexandria via LeMat-Bulk: Sc2TcCl at its PBEsol-relaxed geometry (SCAN).

Structure (CIF):
```
data_Sc2TcCl
_chemical_formula_sum 'Sc2 Tc1 Cl1'
_symmetry_space_group_name_H-M 'P 1 2/m 1'
_symmetry_Int_Tables_number 10
_symmetry_space_group_name_Hall '-P 2y'
_cell_length_a 3.292
_cell_length_b 3.195
_cell_length_c 7.372
_cell_angle_alpha 90.00
_cell_angle_beta 91.64
_cell_angle_gamma 90.00
loop_
_atom_site_label
_atom_site_fract_x
_atom_site_fract_y
_atom_site_fract_z
_atom_site_occupancy
Sc1 0.025 0.000 0.295 1
Tc1 0.500 0.500 0.500 1
Cl1 0.000 0.500 0.000 1
```

Output
Total magnetization   0.000 μB per atom



Which of them is the least stable? Correct choice: model w.